{
  "formula": "AlCdMo2",
  "functional": "PBE",
  "state": "optimized geometry",
  "polymorph_energy_ev_per_fu": 0.65,
  "sg": "P4mm",
  "magnetic_moment_mub_per_fu": 0.0,
  "dft_energy_ev_per_atom": -6.315,
  "formation_enthalpy_0k_ev_per_atom": 0.26,
  "cell": [[-1.693, 2.131, -0.420], [-2.154, -1.716, -0.024], [-0.918, 1.026, 8.902]],
  "species": ["Al", "Cd", "Mo", "Mo"],
  "frac_coords": [[0.000, 0.000, 0.478], [0.500, 0.500, 0.750], [0.500, 0.500, 0.260], [0.000, 0.000, 0.011]]
}

{
  "formula": "CsHfS3",
  "functional": "PBE",
  "state": "optimized geometry",
  "formation_energy_uncorrected_ev_per_atom": -1.074,
  "polymorph_energy_ev_per_fu": 1.62,
  "sg": "P2_1/m",
  "magnetic_moment_mub_per_fu": 0.0,
  "dft_energy_ev_per_atom": -5.712,
  "cell": [[-3.246, -2.033, -1.587], [3.673, -7.294, 1.829], [0.478, 3.066, 11.267]],
  "species": ["S", "S", "S", "S", "S", "S", "Hf", "Hf", "Cs", "Cs"],
  "frac_coords": [[0.313, 0.984, 0.878], [0.414, 0.750, 0.610], [0.586, 0.250, 0.390], [0.687, 0.016, 0.122], [0.313, 0.516, 0.878], [0.687, 0.484, 0.122], [0.878, 0.250, 0.250], [0.122, 0.750, 0.750], [0.440, 0.750, 0.292], [0.560, 0.250, 0.708]]
}

{
  "formula": "AgPb7",
  "functional": "PBE",
  "state": "optimized geometry",
  "sg": "Fm-3m",
  "magnetic_moment_mub_per_fu": 0.0,
  "dft_energy_ev_per_atom": -3.528,
  "formation_enthalpy_0k_ev_per_atom": 0.07,
  "cell": [[-0.386, 5.938, 3.624], [-5.431, 4.274, -0.883], [-4.744, 0.694, 5.055]],
  "species": ["Pb", "Pb", "Pb", "Pb", "Pb", "Pb", "Pb", "Ag"],
  "frac_coords": [[0.000, 0.500, 0.500], [0.500, 0.000, 0.000], [0.500, 0.500, 0.000], [0.500, 0.000, 0.500], [0.500, 0.500, 0.500], [0.000, 0.000, 0.500], [0.000, 0.500, 0.000], [0.000, 0.000, 0.000]]
}

{
  "formula": "AcTlH2F8",
  "functional": "PBE",
  "state": "optimized geometry",
  "sg": "P-1",
  "magnetic_moment_mub_per_fu": 0.0,
  "dft_energy_ev_per_atom": -4.830,
  "cell": [[4.310, 0.710, 0.064], [1.020, 4.276, 0.067], [0.138, 0.119, 8.835]],
  "species": ["F", "F", "F", "F", "F", "F", "F", "F", "Ac", "Tl", "H", "H"],
  "frac_coords": [[0.719, 0.719, 0.994], [0.329, 0.327, 0.513], [0.255, 0.730, 0.235], [0.281, 0.281, 0.006], [0.269, 0.744, 0.765], [0.745, 0.270, 0.765], [0.671, 0.673, 0.487], [0.731, 0.256, 0.235], [0.000, 0.000, 0.500], [0.000, 0.000, 0.000], [0.494, 0.494, 0.232], [0.506, 0.506, 0.768]]
}

{
  "formula": "Li7Tl2",
  "functional": "PBE",
  "state": "optimized geometry",
  "sg": "P-3m1",
  "magnetic_moment_mub_per_fu": 0.0,
  "dft_energy_ev_per_atom": -2.216,
  "formation_enthalpy_0k_ev_per_atom": -0.20,
  "cell": [[4.717, 0.000, 0.000], [-2.359, 4.085, 0.000], [0.000, 0.000, 8.622]],
  "species": ["Li", "Li", "Li", "Li", "Li", "Li", "Li", "Tl", "Tl"],
  "frac_coords": [[0.000, 0.000, 0.000], [0.667, 0.333, 0.895], [0.333, 0.667, 0.105], [0.667, 0.333, 0.568], [0.000, 0.000, 0.672], [0.333, 0.667, 0.432], [0.000, 0.000, 0.328], [0.333, 0.667, 0.770], [0.667, 0.333, 0.230]]
}

{
  "formula": "BaCaTc2",
  "functional": "PBE",
  "state": "optimized geometry",
  "polymorph_energy_ev_per_fu": 3.72,
  "sg": "P4/mmm",
  "magnetic_moment_mub_per_fu": 3.4,
  "dft_energy_ev_per_atom": -4.970,
  "formation_enthalpy_0k_ev_per_atom": 1.19,
  "cell": [[-0.736, -3.697, 2.840], [-0.656, -2.604, -3.559], [4.355, -0.950, -0.108]],
  "species": ["Tc", "Tc", "Ba", "Ca"],
  "frac_coords": [[0.000, 0.500, 0.500], [0.000, 0.000, 0.000], [0.500, 0.500, 0.000], [0.500, 0.000, 0.500]]
}

{
  "formula": "HfCuAsO6",
  "functional": "PBE",
  "state": "optimized geometry",
  "formation_energy_uncorrected_ev_per_atom": -1.517,
  "sg": "P-31c",
  "magnetic_moment_mub_per_fu": 2.0,
  "dft_energy_ev_per_atom": -6.900,
  "cell": [[5.171, 0.000, 0.000], [-2.585, 4.478, 0.000], [0.000, 0.000, 8.582]],
  "species": ["Hf", "Hf", "As", "As", "O", "O", "O", "O", "O", "O", "O", "O", "O", "O", "O", "O", "Cu", "Cu"],
  "frac_coords": [[0.667, 0.333, 0.250], [0.333, 0.667, 0.750], [0.333, 0.667, 0.250], [0.667, 0.333, 0.750], [0.365, 0.032, 0.630], [0.635, 0.968, 0.370], [0.667, 0.635, 0.630], [0.333, 0.968, 0.130], [0.667, 0.032, 0.870], [0.635, 0.667, 0.130], [0.333, 0.365, 0.370], [0.968, 0.635, 0.870], [0.968, 0.333, 0.630], [0.032, 0.365, 0.130], [0.365, 0.333, 0.870], [0.032, 0.667, 0.370], [0.000, 0.000, 0.500], [0.000, 0.000, 0.000]]
}

{
  "formula": "SrNbW3",
  "functional": "PBE",
  "state": "optimized geometry",
  "polymorph_energy_ev_per_fu": 0.00,
  "sg": "Pm-3m",
  "magnetic_moment_mub_per_fu": 0.0,
  "dft_energy_ev_per_atom": -8.246,
  "formation_enthalpy_0k_ev_per_atom": 1.88,
  "cell": [[-0.668, 4.600, -1.638], [-4.847, -0.823, -0.336], [-0.587, 1.566, 4.636]],
  "species": ["W", "W", "W", "Nb", "Sr"],
  "frac_coords": [[0.000, 0.000, 0.500], [0.000, 0.500, 0.000], [0.500, 0.000, 0.000], [0.000, 0.000, 0.000], [0.500, 0.500, 0.500]]
}

{
  "formula": "Na2TeSe3",
  "functional": "PBE",
  "state": "optimized geometry",
  "formation_energy_uncorrected_ev_per_atom": -0.608,
  "polymorph_energy_ev_per_fu": 0.14,
  "sg": "Pmmn",
  "magnetic_moment_mub_per_fu": 0.0,
  "dft_energy_ev_per_atom": -3.313,
  "cell": [[-0.615, -4.028, -0.436], [2.693, 0.177, -5.434], [11.513, -2.368, 5.628]],
  "species": ["Na", "Na", "Na", "Na", "Se", "Se", "Se", "Se", "Se", "Se", "Te", "Te"],
  "frac_coords": [[0.000, 0.235, 0.666], [0.500, 0.765, 0.834], [0.500, 0.765, 0.166], [0.000, 0.235, 0.334], [0.000, 0.734, 0.349], [0.500, 0.195, 0.500], [0.000, 0.805, 0.000], [0.000, 0.734, 0.651], [0.500, 0.266, 0.151], [0.500, 0.266, 0.849], [0.000, 0.223, 0.000], [0.500, 0.777, 0.500]]
}

{
  "formula": "CaTaTc",
  "functional": "PBE",
  "state": "optimized geometry",
  "polymorph_energy_ev_per_fu": 1.32,
  "sg": "Imm2",
  "magnetic_moment_mub_per_fu": 0.0,
  "dft_energy_ev_per_atom": -7.446,
  "formation_enthalpy_0k_ev_per_atom": 0.63,
  "cell": [[5.033, -0.010, 0.001], [1.696, 4.739, -0.001], [-2.462, -3.649, 2.441]],
  "species": ["Ca", "Tc", "Ta"],
  "frac_coords": [[0.998, 0.998, 0.000], [0.656, 0.656, 0.000], [0.346, 0.346, 0.000]]
}

{
  "formula": "H4SeS",
  "functional": "PBE",
  "state": "optimized geometry",
  "sg": "P-1",
  "magnetic_moment_mub_per_fu": 0.0,
  "dft_energy_ev_per_atom": -3.597,
  "cell": [[-3.548, 6.287, -0.768], [-6.966, 4.444, 1.233], [3.612, 3.545, 5.704]],
  "species": ["H", "H", "H", "H", "H", "H", "H", "H", "S", "S", "Se", "Se"],
  "frac_coords": [[0.139, 0.793, 0.209], [0.503, 0.748, 0.504], [0.497, 0.252, 0.496], [0.861, 0.207, 0.791], [0.053, 0.283, 0.781], [0.139, 0.687, 0.663], [0.947, 0.717, 0.219], [0.861, 0.313, 0.337], [0.852, 0.930, 0.165], [0.148, 0.070, 0.835], [0.655, 0.608, 0.305], [0.345, 0.392, 0.695]]
}

{
  "formula": "LiNiH5",
  "functional": "PBE",
  "state": "optimized geometry",
  "sg": "Immm",
  "magnetic_moment_mub_per_fu": 0.0,
  "dft_energy_ev_per_atom": -3.383,
  "cell": [[-0.269, 3.400, -0.294], [-4.055, 1.310, -1.069], [-2.726, 1.764, 2.960]],
  "species": ["H", "H", "H", "H", "H", "Li", "Ni"],
  "frac_coords": [[0.500, 0.890, 0.110], [0.719, 0.281, 0.281], [0.000, 0.500, 0.500], [0.281, 0.719, 0.719], [0.500, 0.110, 0.890], [0.000, 0.000, 0.000], [0.500, 0.500, 0.500]]
}

{
  "formula": "ErMgNi6",
  "functional": "PBE",
  "state": "optimized geometry",
  "sg": "Pm-3",
  "magnetic_moment_mub_per_fu": 1.4,
  "dft_energy_ev_per_atom": -5.094,
  "formation_enthalpy_0k_ev_per_atom": 0.01,
  "cell": [[4.766, 0.000, 0.000], [0.000, 4.766, 0.000], [0.000, 0.000, 4.766]],
  "species": ["Ni", "Ni", "Ni", "Ni", "Ni", "Ni", "Er", "Mg"],
  "frac_coords": [[0.500, 0.255, 0.000], [0.000, 0.500, 0.255], [0.745, 0.000, 0.500], [0.000, 0.500, 0.745], [0.255, 0.000, 0.500], [0.500, 0.745, 0.000], [0.000, 0.000, 0.000], [0.500, 0.500, 0.500]]
}

{
  "formula": "Cs6Hg2IO",
  "functional": "PBE",
  "state": "optimized geometry",
  "formation_energy_uncorrected_ev_per_atom": -0.639,
  "sg": "P2_1/c",
  "magnetic_moment_mub_per_fu": 0.0,
  "dft_energy_ev_per_atom": -1.862,
  "cell": [[8.997, 0.000, 0.056], [0.000, 9.633, 0.000], [0.157, 0.000, 13.110]],
  "species": ["Cs", "Cs", "Cs", "Cs", "Cs", "Cs", "Cs", "Cs", "Cs", "Cs", "Cs", "Cs", "Hg", "Hg", "Hg", "Hg", "I", "I", "O", "O"],
  "frac_coords": [[0.340, 0.736, 0.457], [0.270, 0.666, 0.042], [0.730, 0.334, 0.958], [0.840, 0.764, 0.957], [0.770, 0.834, 0.542], [0.089, 0.483, 0.784], [0.160, 0.236, 0.043], [0.911, 0.517, 0.216], [0.230, 0.166, 0.458], [0.660, 0.264, 0.543], [0.411, 0.983, 0.716], [0.589, 0.017, 0.284], [0.468, 0.422, 0.252], [0.032, 0.922, 0.248], [0.532, 0.578, 0.748], [0.968, 0.078, 0.752], [0.500, 0.000, 0.000], [0.000, 0.500, 0.500], [0.000, 0.500, 0.000], [0.500, 0.000, 0.500]]
}

{
  "formula": "RbPdBr3",
  "functional": "PBE",
  "state": "optimized geometry",
  "formation_energy_uncorrected_ev_per_atom": -0.895,
  "sg": "C2/c",
  "magnetic_moment_mub_per_fu": 0.0,
  "dft_energy_ev_per_atom": -3.131,
  "cell": [[-8.472, -11.897, 0.142], [-4.486, -1.732, -7.014], [7.749, -0.716, -3.431]],
  "species": ["Br", "Br", "Br", "Br", "Br", "Br", "Br", "Br", "Br", "Br", "Br", "Br", "Pd", "Pd", "Pd", "Pd", "Rb", "Rb", "Rb", "Rb"],
  "frac_coords": [[0.878, 0.711, 0.238], [0.374, 0.573, 0.105], [0.126, 0.605, 0.073], [0.874, 0.395, 0.927], [0.377, 0.890, 0.414], [0.877, 0.086, 0.610], [0.122, 0.289, 0.762], [0.622, 0.738, 0.211], [0.623, 0.110, 0.586], [0.378, 0.262, 0.789], [0.626, 0.427, 0.895], [0.123, 0.914, 0.390], [0.250, 0.751, 0.251], [0.750, 0.249, 0.749], [0.750, 0.573, 0.073], [0.250, 0.427, 0.927], [0.857, 0.694, 0.640], [0.143, 0.306, 0.360], [0.357, 0.860, 0.806], [0.643, 0.140, 0.194]]
}

{
  "formula": "CrTe3",
  "functional": "PBE",
  "state": "optimized geometry",
  "formation_energy_uncorrected_ev_per_atom": -0.029,
  "sg": "C2/m",
  "magnetic_moment_mub_per_fu": 3.2,
  "dft_energy_ev_per_atom": -4.791,
  "cell": [[3.951, -0.133, -0.266], [2.059, 3.374, -0.266], [-1.392, -0.751, 9.002]],
  "species": ["Te", "Te", "Te", "Cr"],
  "frac_coords": [[0.610, 0.610, 0.834], [0.500, 0.500, 0.500], [0.390, 0.390, 0.166], [0.000, 0.000, 0.000]]
}

{
  "formula": "PaCu3I2Br6",
  "functional": "PBE",
  "state": "optimized geometry",
  "formation_energy_uncorrected_ev_per_atom": -0.712,
  "sg": "C2/m",
  "magnetic_moment_mub_per_fu": 0.0,
  "dft_energy_ev_per_atom": -3.622,
  "cell": [[7.100, 0.000, -0.954], [0.000, 7.949, 0.000], [-2.145, -3.975, 7.368]],
  "species": ["Br", "Br", "Br", "Br", "Br", "Br", "Cu", "Cu", "Cu", "I", "I", "Pa"],
  "frac_coords": [[0.721, 0.887, 0.774], [0.252, 0.131, 0.777], [0.252, 0.646, 0.777], [0.748, 0.869, 0.223], [0.748, 0.354, 0.223], [0.279, 0.113, 0.226], [0.500, 0.500, 0.500], [0.500, 0.000, 0.500], [0.000, 0.500, 0.000], [0.721, 0.339, 0.679], [0.279, 0.661, 0.321], [0.500, 0.000, 0.000]]
}

{
  "formula": "PaVCo5Si2",
  "functional": "PBE",
  "state": "optimized geometry",
  "formation_energy_uncorrected_ev_per_atom": -0.124,
  "sg": "P4/mmm",
  "magnetic_moment_mub_per_fu": 0.0,
  "dft_energy_ev_per_atom": -7.345,
  "cell": [[3.642, 0.000, 0.000], [0.000, 3.642, 0.000], [0.000, 0.000, 10.054]],
  "species": ["Si", "Si", "V", "Co", "Co", "Co", "Co", "Co", "Pa"],
  "frac_coords": [[0.500, 0.500, 0.722], [0.500, 0.500, 0.278], [0.000, 0.000, 0.000], [0.500, 0.000, 0.148], [0.000, 0.500, 0.148], [0.000, 0.500, 0.852], [0.500, 0.000, 0.852], [0.500, 0.500, 0.500], [0.000, 0.000, 0.500]]
}

{
  "formula": "TlHg2Pb2",
  "functional": "PBE",
  "state": "optimized geometry",
  "polymorph_energy_ev_per_fu": 0.12,
  "sg": "P4/mbm",
  "magnetic_moment_mub_per_fu": 0.0,
  "dft_energy_ev_per_atom": -2.041,
  "formation_enthalpy_0k_ev_per_atom": 0.04,
  "cell": [[9.249, 0.000, 0.000], [0.000, 9.249, 0.000], [0.000, 0.000, 3.519]],
  "species": ["Hg", "Hg", "Hg", "Hg", "Tl", "Tl", "Pb", "Pb", "Pb", "Pb"],
  "frac_coords": [[0.842, 0.658, 0.000], [0.658, 0.158, 0.000], [0.342, 0.842, 0.000], [0.158, 0.342, 0.000], [0.000, 0.000, 0.000], [0.500, 0.500, 0.000], [0.860, 0.360, 0.500], [0.360, 0.140, 0.500], [0.640, 0.860, 0.500], [0.140, 0.640, 0.500]]
}

{
  "formula": "TlTcAgBi2",
  "functional": "PBE",
  "state": "optimized geometry",
  "sg": "P4/mmm",
  "magnetic_moment_mub_per_fu": 0.0,
  "dft_energy_ev_per_atom": -4.125,
  "formation_enthalpy_0k_ev_per_atom": 0.54,
  "cell": [[5.295, 0.000, 0.000], [0.000, 5.374, 0.000], [0.000, 0.000, 5.295]],
  "species": ["Tl", "Bi", "Bi", "Ag", "Tc"],
  "frac_coords": [[0.000, 0.500, 0.000], [0.000, 0.000, 0.500], [0.500, 0.000, 0.000], [0.500, 0.500, 0.500], [0.000, 0.000, 0.000]]
}

{
  "formula": "Sm3TePN",
  "functional": "PBE",
  "state": "optimized geometry",
  "formation_energy_uncorrected_ev_per_atom": -1.412,
  "sg": "P2_1/m",
  "magnetic_moment_mub_per_fu": 0.0,
  "dft_energy_ev_per_atom": -6.585,
  "cell": [[-3.062, 1.683, 2.212], [3.805, -2.807, 7.401], [3.875, 8.434, -1.054]],
  "species": ["N", "N", "Sm", "Sm", "Sm", "Sm", "Sm", "Sm", "Te", "Te", "P", "P"],
  "frac_coords": [[0.250, 0.090, 0.600], [0.750, 0.910, 0.400], [0.250, 0.570, 0.851], [0.750, 0.878, 0.159], [0.750, 0.163, 0.519], [0.250, 0.837, 0.481], [0.250, 0.122, 0.841], [0.750, 0.430, 0.149], [0.750, 0.821, 0.783], [0.250, 0.179, 0.217], [0.250, 0.653, 0.156], [0.750, 0.347, 0.844]]
}

{
  "formula": "AcSmHf",
  "functional": "PBE",
  "state": "optimized geometry",
  "sg": "P4/nmm",
  "magnetic_moment_mub_per_fu": 0.0,
  "dft_energy_ev_per_atom": -6.130,
  "formation_enthalpy_0k_ev_per_atom": 0.13,
  "cell": [[-1.397, 0.645, 3.545], [2.593, -2.460, 1.470], [8.684, 10.100, 1.584]],
  "species": ["Ac", "Ac", "Hf", "Hf", "Sm", "Sm"],
  "frac_coords": [[0.500, 0.000, 0.392], [0.000, 0.500, 0.608], [0.000, 0.500, 0.952], [0.500, 0.000, 0.048], [0.500, 0.000, 0.808], [0.000, 0.500, 0.192]]
}

{
  "formula": "LaZr2W",
  "functional": "PBE",
  "state": "optimized geometry",
  "polymorph_energy_ev_per_fu": 0.59,
  "sg": "P2/m",
  "magnetic_moment_mub_per_fu": 0.0,
  "dft_energy_ev_per_atom": -8.421,
  "formation_enthalpy_0k_ev_per_atom": 0.32,
  "cell": [[4.678, 0.000, 0.000], [0.000, 3.166, -0.002], [0.000, 1.415, 6.209]],
  "species": ["La", "Zr", "Zr", "W"],
  "frac_coords": [[0.500, 0.250, 0.250], [0.000, 0.549, 0.537], [0.000, 0.951, 0.963], [0.500, 0.750, 0.750]]
}